Below is crystalline Ba2ScNbO6 at its relaxed geometry, with properties calculated at the GGA-PBE level.

abc: 5.893 5.893 5.893
angles: 60.00 60.00 60.00
Fractional coordinates of all 10 atoms:
Ba (0.250, 0.250, 0.250)
Ba (0.750, 0.750, 0.750)
Sc (0.000, 0.000, 0.000)
Nb (0.500, 0.500, 0.500)
O (0.256, 0.256, 0.744)
O (0.256, 0.744, 0.256)
O (0.256, 0.744, 0.744)
O (0.744, 0.256, 0.256)
O (0.744, 0.256, 0.744)
O (0.744, 0.744, 0.256)

## Properties
DOS(E_F): 0.0 states/eV/f.u.
space-group type: No. 225
formation energy (no corrections): -3060.6 meV per atom
calculated volume: 14.47 Å³/atom